Entry P
The following is a DFT calculation (SCAN) of YAl2Br at its PBEsol-relaxed geometry.

The structure belongs to space group C2/m (No. 12); the cell edges are 11.574, 3.439 and 4.501 Å and the angles 90.00°, 100.24° and 90.00°. Symmetry generates all atoms from Y at (0.000, 0.000, 0.000), Al at (0.239, 0.500, 0.235) and Br at (0.000, 0.500, 0.500).

As for the size of the total moment: 0.00 Bohr magnetons per cell.

=====

Entry Q
The following is a DFT calculation (SCAN) of YAl2Br at its PBEsol-relaxed geometry.

The structure belongs to space group I4/mmm (No. 139); the cell edges are 4.015, 4.015 and 10.541 Å and the angles 90.00°, 90.00° and 90.00°. Symmetry generates all atoms from Y at (0.000, 0.000, 0.000), Al at (0.000, 0.500, 0.250) and Br at (0.000, 0.000, 0.500).

As for the size of the total moment: 0.00 Bohr magnetons per cell.

=====

Energies relative to the most stable structure are entry P 0.0; entry Q 2.2, reported in kJ/mol of atoms.

=====

Entry P
The following is a DFT calculation (SCAN) of YAlBr2 at its PBEsol-relaxed geometry.

The structure belongs to space group Fm-3m (No. 225); the cell edges are 7.181, 7.181 and 7.181 Å and the angles 90.00°, 90.00° and 90.00°. Symmetry generates all atoms from Y at (0.000, 0.000, 0.000), Al at (0.000, 0.000, 0.500) and Br at (0.250, 0.250, 0.250).

As for the size of the total moment: 6.28 Bohr magnetons per cell.

=====

Entry Q
The following is a DFT calculation (SCAN) of YAlBr2 at its PBEsol-relaxed geometry.

The structure belongs to space group Cmmm (No. 65); the cell edges are 6.534, 8.329 and 3.500 Å and the angles 90.00°, 90.00° and 90.00°. Symmetry generates all atoms from Y at (0.000, 0.000, 0.000), Al at (0.000, 0.500, 0.000) and Br at (0.250, 0.250, 0.500).

As for the size of the total moment: 0.00 Bohr magnetons per cell.

=====

Entry R
The following is a DFT calculation (SCAN) of YAlBr2 at its PBEsol-relaxed geometry.

The structure belongs to space group I-42d (No. 122); the cell edges are 7.049, 7.049 and 11.785 Å and the angles 90.00°, 90.00° and 90.00°. Symmetry generates all atoms from Y at (0.000, 0.000, 0.000), Al at (0.000, 0.000, 0.500) and Br at (0.208, 0.250, 0.125).

As for the size of the total moment: 0.14 Bohr magnetons per cell.

=====

Entry S
The following is a DFT calculation (SCAN) of YAlBr2 at its PBEsol-relaxed geometry.

The structure belongs to space group I-4m2 (No. 119); the cell edges are 4.106, 4.106 and 11.218 Å and the angles 90.00°, 90.00° and 90.00°. Symmetry generates all atoms from Y at (0.000, 0.000, 0.000), Al at (0.000, 0.500, 0.250), Br at (0.000, 0.000, 0.500) and Br at (0.000, 0.500, 0.750).

As for the size of the total moment: 0.00 Bohr magnetons per cell.

=====

Energies relative to the most stable structure are entry P 6.1; entry Q 10.2; entry R 31.4; entry S 0.0, reported in kJ/mol of atoms.